[1]
Density functional theory data (PBE) for a relaxed Dy6SnSe2S3 crystal.

a = 17.732 Å, b = 3.999 Å, c = 8.193 Å
α = 90.00°, β = 103.97°, γ = 90.00°
Space group C2/m (No. 12)
Unique sites:
Dy 0.003 0.000 0.232
Dy 0.161 0.500 0.094
Dy 0.173 0.500 0.569
Sn 0.000 0.500 0.500
Se 0.170 0.000 0.836
S 0.000 0.500 0.000
S 0.166 0.000 0.328

Summary:
Spin magnetization = 0.0 μB per formula unit
Uncorrected formation energy = -1.688 eV/atom
Crystal system = monoclinic

***

[2]
Density functional theory data (PBE) for a relaxed Pu2AlRu crystal.

a = 3.710 Å, b = 3.710 Å, c = 5.874 Å
α = 90.00°, β = 90.00°, γ = 90.00°
Space group P4/mmm (No. 123)
Unique sites:
Pu 0.000 0.000 0.242
Al 0.500 0.500 0.500
Ru 0.500 0.500 0.000

Summary:
Energy relative to the elements = -0.6 eV per formula unit
Spin magnetization = 9.7 μB per formula unit
Crystal system = tetragonal

***

[3]
Density functional theory data (PBE) for a relaxed Zn2PdF crystal.

a = 6.316 Å, b = 6.316 Å, c = 5.904 Å
α = 90.00°, β = 90.00°, γ = 90.00°
Space group I-42d (No. 122)
Unique sites:
Zn 0.206 0.250 0.125
Pd 0.000 0.000 0.500
F 0.000 0.000 0.000

Summary:
Spin magnetization = 0.0 μB per formula unit
Uncorrected formation energy = -0.775 eV/atom
Crystal system = tetragonal

***

[4]
Density functional theory data (PBE) for a relaxed Dy2Er3Pt2 crystal.

a = 12.187 Å, b = 3.736 Å, c = 8.992 Å
α = 90.00°, β = 116.46°, γ = 90.00°
Space group C2/m (No. 12)
Unique sites:
Dy 0.163 0.000 0.312
Er 0.000 0.500 0.500
Er 0.115 0.500 0.935
Pt 0.173 0.000 0.739

Summary:
Energy relative to the elements = -5.7 eV per formula unit
Spin magnetization = 0.0 μB per formula unit
Crystal system = monoclinic

***

Which value of spin magnetization does entry 3 give?
0.0 μB per formula unit

***

Copy entry 1 word for word.
Density functional theory data (PBE) for a relaxed Dy6SnSe2S3 crystal.

a = 17.732 Å, b = 3.999 Å, c = 8.193 Å
α = 90.00°, β = 103.97°, γ = 90.00°
Space group C2/m (No. 12)
Unique sites:
Dy 0.003 0.000 0.232
Dy 0.161 0.500 0.094
Dy 0.173 0.500 0.569
Sn 0.000 0.500 0.500
Se 0.170 0.000 0.836
S 0.000 0.500 0.000
S 0.166 0.000 0.328

Summary:
Spin magnetization = 0.0 μB per formula unit
Uncorrected formation energy = -1.688 eV/atom
Crystal system = monoclinic

***

Number 2 is which compound?
Pu2AlRu